TbDy3, relaxed, DFT PBE; spin magnetization = 0.0002 μB per atom; energy of formation from the pure elements = 10 meV/atom; E_tot = -18.40 eV per cell; DOS(E_F) = 1.76 states/eV per atom
1.0
-2.670 0.129 2.436
-0.990 -6.125 -0.760
5.527 1.890 3.273
Dy Tb
3 1
Cartesian
-1.831 -3.001 0.838
0.680 0.535 3.402
1.518 -2.592 1.801
0.000 -0.003 0.000